Entry 1:
The following is a PBE-GGA calculation of a relaxed structure of TlAgOs2, from Alexandria via LeMat-Bulk.

Lattice parameters (Å, degrees): 4.991 4.991 5.106 79.23 79.23 33.50
Positions (direct):
1 Tl 0.750 0.750 0.750
2 Ag 0.250 0.250 0.250
3 Os 0.001 0.001 0.033
4 Os 0.499 0.499 0.467

Summary:
Crystal system ... monoclinic
Excess energy over the best structure of this formula in the dataset ... 1.66 eV/f.u.

=====

Entry 2:
The following is a PBE-GGA calculation of a relaxed structure of LaFeB2, from Alexandria via LeMat-Bulk.

Lattice parameters (Å, degrees): 4.304 4.304 4.304 60.00 60.00 60.00
Positions (direct):
1 La 0.500 0.500 0.500
2 B 0.750 0.750 0.750
3 Fe 0.000 0.000 0.000
4 B 0.250 0.250 0.250

Summary:
Crystal system ... cubic
Excess energy over the best structure of this formula in the dataset ... 3.73 eV/f.u.

=====

Entry 3:
The following is a PBE-GGA calculation of a relaxed structure of PtRhW, from Alexandria via LeMat-Bulk.

Lattice parameters (Å, degrees): 4.398 4.398 2.770 89.99 90.00 60.00
Positions (direct):
1 Pt 0.922 0.869 0.594
2 W 0.255 0.203 0.094
3 Rh 0.589 0.536 0.094

Summary:
Crystal system ... hexagonal
Excess energy over the best structure of this formula in the dataset ... 0.56 eV/f.u.

=====

Entry 4:
The following is a PBE-GGA calculation of a relaxed structure of PbS2N, from Alexandria via LeMat-Bulk.

Lattice parameters (Å, degrees): 4.781 4.781 4.781 60.00 60.00 60.00
Positions (direct):
1 Pb 0.500 0.500 0.500
2 N 0.000 0.000 0.000
3 S 0.750 0.750 0.750
4 S 0.250 0.250 0.250

Summary:
Crystal system ... cubic
Excess energy over the best structure of this formula in the dataset ... 3.83 eV/f.u.
Energy relative to the elements, uncorrected ... 5.722 eV per formula unit

=====

Entry 5:
The following is a PBE-GGA calculation of a relaxed structure of CaCS2, from Alexandria via LeMat-Bulk.

Lattice parameters (Å, degrees): 6.549 6.549 6.549 38.89 38.89 38.89
Positions (direct):
1 C 0.000 0.000 0.000
2 Ca 0.500 0.500 0.500
3 S 0.090 0.090 0.090
4 S 0.910 0.910 0.910

Summary:
Crystal system ... trigonal
Energy relative to the elements, uncorrected ... -0.199 eV per formula unit

=====

Entry 6:
The following is a PBE-GGA calculation of a relaxed structure of YCdTc, from Alexandria via LeMat-Bulk.

Lattice parameters (Å, degrees): 5.553 5.553 5.553 142.47 142.49 54.11
Positions (direct):
1 Y 0.678 0.678 0.000
2 Cd 0.980 0.980 0.000
3 Tc 0.342 0.342 0.000

Summary:
Crystal system ... tetragonal
Excess energy over the best structure of this formula in the dataset ... 0.00 eV/f.u.

=====

Entry 7:
The following is a PBE-GGA calculation of a relaxed structure of Rb2CaAg, from Alexandria via LeMat-Bulk.

Lattice parameters (Å, degrees): 6.563 6.563 6.563 60.00 60.00 60.00
Positions (direct):
1 Ag 0.500 0.500 0.500
2 Ca 0.000 0.000 0.000
3 Rb 0.250 0.250 0.250
4 Rb 0.750 0.750 0.750

Summary:
Crystal system ... cubic
Excess energy over the best structure of this formula in the dataset ... 0.52 eV/f.u.

=====

Entry 8:
The following is a PBE-GGA calculation of a relaxed structure of Rb2IrBr, from Alexandria via LeMat-Bulk.

Lattice parameters (Å, degrees): 5.999 5.999 5.999 60.00 60.00 60.00
Positions (direct):
1 Rb 0.750 0.750 0.750
2 Rb 0.250 0.250 0.250
3 Br 0.000 0.000 0.000
4 Ir 0.500 0.500 0.500

Summary:
Crystal system ... cubic
Excess energy over the best structure of this formula in the dataset ... 0.00 eV/f.u.
Energy relative to the elements, uncorrected ... 0.773 eV per formula unit

=====

Entry 9:
The following is a PBE-GGA calculation of a relaxed structure of Ba2GaAsO6, from Alexandria via LeMat-Bulk.

Lattice parameters (Å, degrees): 5.734 5.734 10.070 73.46 73.46 60.00
Positions (direct):
1 As 0.409 0.409 0.772
2 O 0.399 0.844 0.357
3 As 0.591 0.591 0.228
4 O 0.787 0.787 0.123
5 O 0.601 0.156 0.643
6 O 0.787 0.303 0.123
7 Ga 0.500 0.500 0.500
8 Ba 0.874 0.874 0.377
9 Ga 0.000 0.000 0.000
10 O 0.601 0.601 0.643
11 O 0.156 0.601 0.643
12 Ba 0.712 0.712 0.864
13 O 0.213 0.213 0.877
14 O 0.697 0.213 0.877
15 O 0.213 0.697 0.877
16 O 0.399 0.399 0.357
17 Ba 0.288 0.288 0.136
18 O 0.844 0.399 0.357
19 O 0.303 0.787 0.123
20 Ba 0.126 0.126 0.623

Summary:
Crystal system ... trigonal
Energy relative to the elements, uncorrected ... -20.550 eV per formula unit

=====

Entry 10:
The following is a PBE-GGA calculation of a relaxed structure of Hf2ZrTaCr, from Alexandria via LeMat-Bulk.

Lattice parameters (Å, degrees): 5.046 5.038 5.046 90.00 90.00 90.00
Positions (direct):
1 Zr 0.000 0.500 0.000
2 Hf 0.000 0.000 0.500
3 Hf 0.500 0.000 0.000
4 Cr 0.500 0.500 0.500
5 Ta 0.000 0.000 0.000

Summary:
Crystal system ... tetragonal
Energy ... -8.3571 eV/atom

=====

Entry 11:
The following is a PBE-GGA calculation of a relaxed structure of Tb4PmAg2, from Alexandria via LeMat-Bulk.

Lattice parameters (Å, degrees): 4.969 4.969 10.708 76.58 76.58 60.00
Positions (direct):
1 Ag 0.602 0.602 0.194
2 Tb 0.104 0.104 0.687
3 Tb 0.702 0.702 0.894
4 Pm 0.500 0.500 0.500
5 Tb 0.298 0.298 0.106
6 Ag 0.398 0.398 0.806
7 Tb 0.896 0.896 0.313

Summary:
Crystal system ... trigonal
Energy ... -3.9635 eV/atom

=====

Entry 12:
The following is a PBE-GGA calculation of a relaxed structure of LiPr2ZnPt2, from Alexandria via LeMat-Bulk.

Lattice parameters (Å, degrees): 5.830 5.980 8.564 110.44 109.90 90.00
Positions (direct):
1 Pt 0.119 0.878 0.755
2 Pt 0.881 0.122 0.245
3 Zn 0.000 0.750 0.000
4 Pr 0.092 0.333 0.665
5 Pr 0.573 0.833 0.665
6 Li 0.500 0.750 0.000
7 Pr 0.908 0.667 0.335
8 Zn 0.000 0.250 0.000
9 Pt 0.636 0.378 0.755
10 Pr 0.427 0.167 0.335
11 Li 0.500 0.250 0.000
12 Pt 0.364 0.622 0.245

Summary:
Crystal system ... orthorhombic
Energy ... -4.9527 eV/atom